(1)
A relaxed structure of ThBeIr3, computed with PBE-GGA.

Results
- density of states at the Fermi level (states/eV per cell) = 4.21
- DFT formation energy (meV per atom) = -608

abc: 4.345 4.345 4.345
angles: 90.00 90.00 90.00
Fractional positions:
Th 0.500 0.500 0.500
Ir 0.000 0.500 0.000
Ir 0.000 0.000 0.500
Ir 0.500 0.000 0.000
Be 0.000 0.000 0.000

***

(2)
A relaxed structure of Tm7Ga2Pd2, computed with PBE-GGA.

Results
- density of states at the Fermi level (states/eV per cell) = 9.49
- DFT formation energy (meV per atom) = -373

abc: 6.621 6.953 6.621
angles: 90.00 108.22 90.00
Fractional positions:
Tm 0.500 0.259 0.500
Tm 0.000 0.265 0.500
Ga 0.168 0.500 0.168
Tm 0.000 0.735 0.500
Tm 0.000 0.000 0.000
Tm 0.500 0.265 0.000
Pd 0.708 0.000 0.292
Ga 0.832 0.500 0.832
Pd 0.292 0.000 0.708
Tm 0.500 0.741 0.500
Tm 0.500 0.735 0.000

***

(3)
A relaxed structure of K8CdHg2, computed with PBE-GGA.

Results
- density of states at the Fermi level (states/eV per cell) = 6.16
- energy above the lowest structure with this stoichiometry (meV per atom) = 21
- DFT formation energy (meV per atom) = -74

abc: 5.936 10.294 10.717
angles: 118.70 106.08 90.00
Fractional positions:
Hg 0.807 0.307 0.615
K 0.660 0.877 0.320
K 0.340 0.557 0.680
K 0.859 0.859 0.717
K 0.000 0.314 0.000
K 0.000 0.686 0.000
K 0.340 0.123 0.680
Cd 0.500 0.000 0.000
K 0.141 0.141 0.283
K 0.660 0.443 0.320
Hg 0.193 0.693 0.385